Material: TaAsIr2
Method: DFT, PBE-GGA
State: relaxed

Output
Calculated total energy (eV/atom): -8.53
Crystal system: cubic
Magnetization (μB per cell): 0.01

a b c (Å): 4.472 4.472 4.472
angles (deg): 60.00 60.00 60.00
Positions (direct):
1 Ta 0.000 0.000 0.000
2 As 0.750 0.750 0.750
3 Ir 0.250 0.250 0.250
4 Ir 0.500 0.500 0.500

---

Material: Ta2AsIr
Method: DFT, PBE-GGA
State: relaxed

Output
Calculated total energy (eV/atom): -9.16
Crystal system: cubic
Magnetization (μB per cell): 0.00

a b c (Å): 4.552 4.552 4.552
angles (deg): 60.00 60.00 60.00
Positions (direct):
1 Ta 0.000 0.000 0.000
2 Ta 0.250 0.250 0.250
3 As 0.500 0.500 0.500
4 Ir 0.750 0.750 0.750

---

Material: Ta4As5Ir5
Method: DFT, PBE-GGA
State: relaxed

Output
Calculated total energy (eV/atom): -8.65
Crystal system: tetragonal
Magnetization (μB per cell): 0.01

a b c (Å): 7.345 7.345 7.345
angles (deg): 99.81 99.81 131.23
Positions (direct):
1 Ta 0.097 0.698 0.797
2 Ta 0.302 0.099 0.399
3 Ta 0.700 0.903 0.601
4 Ta 0.901 0.300 0.203
5 As 0.000 0.000 0.000
6 As 0.218 0.410 0.622
7 As 0.404 0.782 0.193
8 As 0.590 0.212 0.807
9 As 0.788 0.596 0.378
10 Ir 0.020 0.341 0.895
11 Ir 0.250 0.750 0.500
12 Ir 0.446 0.126 0.105
13 Ir 0.659 0.554 0.680
14 Ir 0.874 0.980 0.320

---

Material: TcAsIr2
Method: DFT, PBE-GGA
State: relaxed

Output
Calculated total energy (eV/atom): -7.89
Crystal system: cubic
Magnetization (μB per cell): 0.17

a b c (Å): 4.395 4.395 4.395
angles (deg): 60.00 60.00 60.00
Positions (direct):
1 Tc 0.000 0.000 0.000
2 As 0.750 0.750 0.750
3 Ir 0.250 0.250 0.250
4 Ir 0.500 0.500 0.500

---

Material: TcAsIr
Method: DFT, PBE-GGA
State: relaxed

Output
Calculated total energy (eV/atom): -7.80
Crystal system: cubic
Magnetization (μB per cell): 0.00

a b c (Å): 4.101 4.101 4.101
angles (deg): 60.00 60.00 60.00
Positions (direct):
1 Tc 0.000 0.000 0.000
2 As 0.750 0.750 0.750
3 Ir 0.500 0.500 0.500

---

Material: TcAsIr
Method: DFT, PBE-GGA
State: relaxed

Output
Calculated total energy (eV/atom): -7.54
Crystal system: orthorhombic
Magnetization (μB per cell): 0.04

a b c (Å): 2.876 7.539 7.539
angles (deg): 119.64 90.00 90.00
Positions (direct):
1 Tc 0.000 0.000 0.000
2 Tc 0.000 0.393 0.788
3 Tc 0.000 0.788 0.393
4 As 0.500 0.060 0.725
5 As 0.500 0.397 0.397
6 As 0.500 0.725 0.060
7 Ir 0.000 0.119 0.392
8 Ir 0.000 0.392 0.119
9 Ir 0.000 0.670 0.670

---

Material: Te4AsIr
Method: DFT, PBE-GGA
State: relaxed

Output
Calculated total energy (eV/atom): -4.48
Crystal system: monoclinic
Magnetization (μB per cell): 0.00

a b c (Å): 5.546 4.038 7.069
angles (deg): 90.00 90.91 90.00
Positions (direct):
1 Te 0.225 0.000 0.188
2 Te 0.238 0.500 0.645
3 Te 0.762 0.500 0.355
4 Te 0.775 0.000 0.812
5 As 0.500 0.500 0.000
6 Ir 0.500 0.000 0.500

---

Material: Te2AsIr
Method: DFT, PBE-GGA
State: relaxed

Output
Calculated total energy (eV/atom): -4.28
Crystal system: cubic
Magnetization (μB per cell): 0.01

a b c (Å): 4.907 4.907 4.907
angles (deg): 60.00 60.00 60.00
Positions (direct):
1 Te 0.000 0.000 0.000
2 Te 0.250 0.250 0.250
3 As 0.500 0.500 0.500
4 Ir 0.750 0.750 0.750

---

Material: Tl2AsIr
Method: DFT, PBE-GGA
State: relaxed

Output
Calculated total energy (eV/atom): -3.98
Crystal system: cubic
Magnetization (μB per cell): 0.00

a b c (Å): 4.919 4.919 4.919
angles (deg): 60.00 60.00 60.00
Positions (direct):
1 Tl 0.000 0.000 0.000
2 Tl 0.250 0.250 0.250
3 As 0.500 0.500 0.500
4 Ir 0.750 0.750 0.750

---

Material: TlAsIr
Method: DFT, PBE-GGA
State: relaxed

Output
Calculated total energy (eV/atom): -5.05
Crystal system: cubic
Magnetization (μB per cell): 0.00

a b c (Å): 4.481 4.481 4.481
angles (deg): 60.00 60.00 60.00
Positions (direct):
1 Tl 0.000 0.000 0.000
2 As 0.500 0.500 0.500
3 Ir 0.750 0.750 0.750

---

Material: As2IrW
Method: DFT, PBE-GGA
State: relaxed

Output
Calculated total energy (eV/atom): -7.19
Crystal system: cubic
Magnetization (μB per cell): 0.01

a b c (Å): 4.527 4.527 4.527
angles (deg): 60.00 60.00 60.00
Positions (direct):
1 As 0.000 0.000 0.000
2 As 0.250 0.250 0.250
3 Ir 0.750 0.750 0.750
4 W 0.500 0.500 0.500

---

Material: AsIrW2
Method: DFT, PBE-GGA
State: relaxed

Output
Calculated total energy (eV/atom): -9.39
Crystal system: cubic
Magnetization (μB per cell): 0.01

a b c (Å): 4.480 4.480 4.480
angles (deg): 60.00 60.00 60.00
Positions (direct):
1 As 0.000 0.000 0.000
2 Ir 0.250 0.250 0.250
3 W 0.500 0.500 0.500
4 W 0.750 0.750 0.750

---

Material: YAsIr2
Method: DFT, PBE-GGA
State: relaxed

Output
Calculated total energy (eV/atom): -7.26
Crystal system: cubic
Magnetization (μB per cell): 0.11

a b c (Å): 4.649 4.649 4.649
angles (deg): 60.00 60.00 60.00
Positions (direct):
1 Y 0.000 0.000 0.000
2 As 0.750 0.750 0.750
3 Ir 0.250 0.250 0.250
4 Ir 0.500 0.500 0.500

---

Material: ZnAs2Ir
Method: DFT, PBE-GGA
State: relaxed

Output
Calculated total energy (eV/atom): -4.83
Crystal system: tetragonal
Magnetization (μB per cell): 0.01

a b c (Å): 6.888 6.888 6.888
angles (deg): 131.69 131.69 70.72
Positions (direct):
1 Zn 0.000 0.000 0.000
2 Zn 0.750 0.250 0.500
3 As 0.144 0.125 0.519
4 As 0.375 0.856 0.981
5 As 0.606 0.625 0.481
6 As 0.875 0.394 0.019
7 Ir 0.250 0.750 0.500
8 Ir 0.500 0.500 0.000

---

Material: ZnAs2Ir
Method: DFT, PBE-GGA
State: relaxed

Output
Calculated total energy (eV/atom): -4.50
Crystal system: cubic
Magnetization (μB per cell): 0.01

a b c (Å): 4.520 4.520 4.520
angles (deg): 60.00 60.00 60.00
Positions (direct):
1 Zn 0.000 0.000 0.000
2 As 0.500 0.500 0.500
3 As 0.750 0.750 0.750
4 Ir 0.250 0.250 0.250

---

Material: Zr2AsIr
Method: DFT, PBE-GGA
State: relaxed

Output
Calculated total energy (eV/atom): -7.81
Crystal system: cubic
Magnetization (μB per cell): 1.97

a b c (Å): 4.702 4.702 4.702
angles (deg): 60.00 60.00 60.00
Positions (direct):
1 Zr 0.000 0.000 0.000
2 Zr 0.250 0.250 0.250
3 As 0.500 0.500 0.500
4 Ir 0.750 0.750 0.750

---

Material: ZrAsIr2
Method: DFT, PBE-GGA
State: relaxed

Output
Calculated total energy (eV/atom): -7.88
Crystal system: cubic
Magnetization (μB per cell): 0.02

a b c (Å): 4.558 4.558 4.558
angles (deg): 60.00 60.00 60.00
Positions (direct):
1 Zr 0.000 0.000 0.000
2 As 0.750 0.750 0.750
3 Ir 0.250 0.250 0.250
4 Ir 0.500 0.500 0.500

---

Material: KLuAs
Method: DFT, PBE-GGA
State: relaxed

Output
Calculated total energy (eV/atom): -3.71
Crystal system: cubic
Magnetization (μB per cell): 0.00

a b c (Å): 4.991 4.991 4.991
angles (deg): 60.00 60.00 60.00
Positions (direct):
1 K 0.000 0.000 0.000
2 Lu 0.500 0.500 0.500
3 As 0.250 0.250 0.250

---

Material: KLuAsO
Method: DFT, PBE-GGA
State: relaxed

Output
Calculated total energy (eV/atom): -5.44
Crystal system: orthorhombic
Magnetization (μB per cell): 0.00

a b c (Å): 3.379 7.752 7.699
angles (deg): 90.00 90.00 90.00
Positions (direct):
1 K 0.000 0.050 0.000
2 K 0.000 0.950 0.500
3 Lu 0.500 0.368 0.353
4 Lu 0.500 0.632 0.853
5 As 0.500 0.298 0.714
6 As 0.500 0.702 0.214
7 O 0.000 0.239 0.281
8 O 0.000 0.761 0.781

---

Material: KLuAsO
Method: DFT, PBE-GGA
State: relaxed

Output
Calculated total energy (eV/atom): -4.73
Crystal system: tetragonal
Magnetization (μB per cell): 0.00

a b c (Å): 3.995 3.995 5.188
angles (deg): 90.00 90.00 90.00
Positions (direct):
1 K 0.000 0.000 0.000
2 Lu 0.500 0.500 0.500
3 As 0.000 0.000 0.500
4 O 0.500 0.500 0.000